This record from Alexandria via LeMat-Bulk describes LiBeNiB after structural relaxation. The functional is PBE.

Properties
**Energy**: -4.53 eV/atom
**Formation energy from the elements**: 0.00 eV/atom

abc: 3.606 3.606 3.606
angles: 60.00 60.00 60.00
Atoms (fractional coordinates):
Be (0.750, 0.750, 0.750)
Li (0.500, 0.500, 0.500)
B (0.250, 0.250, 0.250)
Ni (0.000, 0.000, 0.000)